(1)
# Tb5Y12In2 | Alexandria | PBE-GGA | relaxed
# **E_form**: -14 meV/atom
# **E**: -5.60 eV per atom
# **Crystal system**: monoclinic
# **Total magnetic moment**: 0.00 μB per cell
data_Tb5Y12In2
_symmetry_space_group_name_H-M 'C 1 2/m 1'
_symmetry_Int_Tables_number 12
_cell_length_a 15.335
_cell_length_b 9.429
_cell_length_c 8.337
_cell_angle_alpha 90.00
_cell_angle_beta 91.66
_cell_angle_gamma 90.00
loop_
_symmetry_equiv_pos_as_xyz
'x,y,z'
'-x,-y,-z'
'-x,y,-z'
'x,-y,z'
'x+1/2,y+1/2,z'
'-x+1/2,-y+1/2,-z'
'-x+1/2,y+1/2,-z'
'x+1/2,-y+1/2,z'
loop_
_atom_site_label
_atom_site_fract_x
_atom_site_fract_y
_atom_site_fract_z
Tb1 0.000 0.000 0.000
Tb2 0.190 0.500 0.509
Tb3 0.233 0.000 0.078
Y1 0.053 0.500 0.821
Y2 0.081 0.000 0.380
Y3 0.126 0.304 0.163
Y4 0.148 0.184 0.732
In1 0.000 0.318 0.500

---

(2)
# Tb3YIn3 | Alexandria | PBE-GGA | relaxed
# **Energy above the lowest structure with this stoichiometry**: 0.0 meV/atom
# **E_form**: -329 meV/atom
# **E**: -4.41 eV per atom
# **Crystal system**: cubic
# **Total magnetic moment**: 0.00 μB per cell
data_Tb3YIn3
_symmetry_space_group_name_H-M 'P 21 3'
_symmetry_Int_Tables_number 198
_symmetry_space_group_name_Hall 'P 2ac 2ab 3'
_cell_length_a 9.345
_cell_length_b 9.345
_cell_length_c 9.345
_cell_angle_alpha 90.00
_cell_angle_beta 90.00
_cell_angle_gamma 90.00
loop_
_atom_site_label
_atom_site_fract_x
_atom_site_fract_y
_atom_site_fract_z
Tb1 0.074 0.426 0.574
Tb2 0.175 0.175 0.175
Tb3 0.175 0.825 0.325
Y1 0.074 0.574 0.926
In1 0.000 0.250 0.874

---

(3)
# Tb5YIn4 | Alexandria | PBE-GGA | relaxed
# **E_form**: -381 meV/atom
# **E**: -4.44 eV per atom
# **Crystal system**: tetragonal
# **Total magnetic moment**: 0.00 μB per cell
data_Tb5YIn4
_symmetry_space_group_name_H-M 'P 4/m m m'
_symmetry_Int_Tables_number 123
_symmetry_space_group_name_Hall '-P 4 2'
_cell_length_a 3.586
_cell_length_b 3.586
_cell_length_c 21.808
_cell_angle_alpha 90.00
_cell_angle_beta 90.00
_cell_angle_gamma 90.00
loop_
_atom_site_label
_atom_site_fract_x
_atom_site_fract_y
_atom_site_fract_z
Tb1 0.000 0.000 0.000
Tb2 0.000 0.000 0.193
Tb3 0.000 0.000 0.384
Y1 0.500 0.500 0.500
In1 0.500 0.500 0.096
In2 0.500 0.500 0.289

---

(4)
# Tb4Y5In4 | Alexandria | PBE-GGA | relaxed
# **E_form**: -344 meV/atom
# **E**: -5.10 eV per atom
# **Crystal system**: tetragonal
# **Total magnetic moment**: 0.00 μB per cell
data_Tb4Y5In4
_symmetry_space_group_name_H-M 'I 4/m'
_symmetry_Int_Tables_number 87
_symmetry_space_group_name_Hall '-I 4'
_cell_length_a 12.216
_cell_length_b 12.216
_cell_length_c 5.113
_cell_angle_alpha 90.00
_cell_angle_beta 90.00
_cell_angle_gamma 90.00
loop_
_atom_site_label
_atom_site_fract_x
_atom_site_fract_y
_atom_site_fract_z
Tb1 0.098 0.391 0.000
Y1 0.000 0.000 0.000
Y2 0.097 0.187 0.500
In1 0.108 0.766 0.000

---

(5)
# Tb3Y2In3 | Alexandria | PBE-GGA | relaxed
# **Energy above the lowest structure with this stoichiometry**: 5.6 meV/atom
# **E_form**: -364 meV/atom
# **E**: -4.74 eV per atom
# **Crystal system**: orthorhombic
# **Total magnetic moment**: 1.32 μB per cell
data_Tb3Y2In3
_symmetry_space_group_name_H-M 'P m m m'
_symmetry_Int_Tables_number 47
_cell_length_a 4.926
_cell_length_b 4.944
_cell_length_c 9.141
_cell_angle_alpha 90.00
_cell_angle_beta 90.00
_cell_angle_gamma 90.00
loop_
_symmetry_equiv_pos_as_xyz
'x,y,z'
'-x,-y,-z'
'-x,-y,z'
'x,y,-z'
'x,-y,-z'
'-x,y,z'
'-x,y,-z'
'x,-y,z'
loop_
_atom_site_label
_atom_site_fract_x
_atom_site_fract_y
_atom_site_fract_z
Tb1 0.000 0.000 0.000
Tb2 0.500 0.000 0.262
Y1 0.000 0.500 0.266
In1 0.000 0.000 0.500
In2 0.500 0.500 0.000
In3 0.500 0.500 0.500

---

(6)
# Tb6YIn3 | Alexandria | PBE-GGA | relaxed
# **E_form**: -138 meV/atom
# **E**: -4.38 eV per atom
# **Crystal system**: orthorhombic
# **Total magnetic moment**: 0.00 μB per cell
data_Tb6YIn3
_symmetry_space_group_name_H-M 'C m c 21'
_symmetry_Int_Tables_number 36
_cell_length_a 10.521
_cell_length_b 15.384
_cell_length_c 7.693
_cell_angle_alpha 90.00
_cell_angle_beta 90.00
_cell_angle_gamma 90.00
loop_
_symmetry_equiv_pos_as_xyz
'x,y,z'
'-x,-y,z+1/2'
'-x,y,z'
'x,-y,z+1/2'
'x+1/2,y+1/2,z'
'-x+1/2,-y+1/2,z+1/2'
'-x+1/2,y+1/2,z'
'x+1/2,-y+1/2,z+1/2'
loop_
_atom_site_label
_atom_site_fract_x
_atom_site_fract_y
_atom_site_fract_z
Tb1 0.000 0.046 0.000
Tb2 0.000 0.304 0.160
Tb3 0.235 0.467 0.189
Tb4 0.237 0.314 0.500
Y1 0.000 0.207 0.710
In1 0.000 0.448 0.472
In2 0.145 0.135 0.362

---

(7)
# TbY3In3 | Alexandria | PBE-GGA | relaxed
# **E_form**: -346 meV/atom
# **E**: -4.95 eV per atom
# **Crystal system**: cubic
# **Total magnetic moment**: 0.00 μB per cell
data_TbY3In3
_symmetry_space_group_name_H-M 'P 21 3'
_symmetry_Int_Tables_number 198
_symmetry_space_group_name_Hall 'P 2ac 2ab 3'
_cell_length_a 9.336
_cell_length_b 9.336
_cell_length_c 9.336
_cell_angle_alpha 90.00
_cell_angle_beta 90.00
_cell_angle_gamma 90.00
loop_
_atom_site_label
_atom_site_fract_x
_atom_site_fract_y
_atom_site_fract_z
Tb1 0.075 0.425 0.575
Y1 0.075 0.575 0.925
Y2 0.176 0.824 0.324
Y3 0.177 0.177 0.177
In1 0.000 0.250 0.877

---

(8)
# Tb3Y3In2 | Alexandria | PBE-GGA | relaxed
# **Energy above the lowest structure with this stoichiometry**: 0.0 meV/atom
# **E_form**: -273 meV/atom
# **E**: -5.12 eV per atom
# **Crystal system**: orthorhombic
# **Total magnetic moment**: 1.31 μB per cell
data_Tb3Y3In2
_symmetry_space_group_name_H-M 'P m m m'
_symmetry_Int_Tables_number 47
_cell_length_a 4.860
_cell_length_b 4.883
_cell_length_c 9.688
_cell_angle_alpha 90.00
_cell_angle_beta 90.00
_cell_angle_gamma 90.00
loop_
_symmetry_equiv_pos_as_xyz
'x,y,z'
'-x,-y,-z'
'-x,-y,z'
'x,y,-z'
'x,-y,-z'
'-x,y,z'
'-x,y,-z'
'x,-y,z'
loop_
_atom_site_label
_atom_site_fract_x
_atom_site_fract_y
_atom_site_fract_z
Tb1 0.000 0.000 0.000
Tb2 0.500 0.000 0.249
Y1 0.000 0.000 0.500
Y2 0.500 0.500 0.000
Y3 0.500 0.500 0.500
In1 0.000 0.500 0.251

---

(9)
# TbYIn6 | Alexandria | PBE-GGA | relaxed
# **Energy above the lowest structure with this stoichiometry**: 0.0 meV/atom
# **E_form**: -427 meV/atom
# **E**: -3.87 eV per atom
# **Crystal system**: tetragonal
# **Total magnetic moment**: 0.00 μB per cell
data_TbYIn6
_symmetry_space_group_name_H-M 'P 4/m m m'
_symmetry_Int_Tables_number 123
_symmetry_space_group_name_Hall '-P 4 2'
_cell_length_a 4.645
_cell_length_b 4.645
_cell_length_c 9.289
_cell_angle_alpha 90.00
_cell_angle_beta 90.00
_cell_angle_gamma 90.00
loop_
_atom_site_label
_atom_site_fract_x
_atom_site_fract_y
_atom_site_fract_z
Tb1 0.000 0.000 0.000
Y1 0.000 0.000 0.500
In1 0.000 0.500 0.250
In2 0.500 0.500 0.000
In3 0.500 0.500 0.500

---

(10)
# Tb3Y2In4 | Alexandria | PBE-GGA | relaxed
# **Energy above the lowest structure with this stoichiometry**: 0.0 meV/atom
# **E_form**: -431 meV/atom
# **E**: -4.63 eV per atom
# **Crystal system**: trigonal
# **Total magnetic moment**: 0.00 μB per cell
data_Tb3Y2In4
_symmetry_space_group_name_H-M 'P -3 m 1'
_symmetry_Int_Tables_number 164
_symmetry_space_group_name_Hall '-P 3 2"'
_cell_length_a 5.2851
_cell_length_b 5.2851
_cell_length_c 10.2606
_cell_angle_alpha 90.00
_cell_angle_beta 90.00
_cell_angle_gamma 120.00
loop_
_atom_site_label
_atom_site_fract_x
_atom_site_fract_y
_atom_site_fract_z
Tb1 0.0000 0.0000 0.0000
Tb2 0.3333 0.6667 0.4243
Y1 0.3333 0.6667 0.7771
In1 0.0000 0.0000 0.3459
In2 0.3333 0.6667 0.1006

---

(11)
# Tb3Y6In | Alexandria | PBE-GGA | relaxed
# **Energy above the lowest structure with this stoichiometry**: 0.0 meV/atom
# **E_form**: -80 meV/atom
# **E**: -5.62 eV per atom
# **Crystal system**: monoclinic
# **Total magnetic moment**: 0.00 μB per cell
data_Tb3Y6In
_symmetry_space_group_name_H-M 'P 1 21/m 1'
_symmetry_Int_Tables_number 11
_cell_length_a 9.690
_cell_length_b 5.576
_cell_length_c 12.431
_cell_angle_alpha 90.00
_cell_angle_beta 110.56
_cell_angle_gamma 90.00
loop_
_symmetry_equiv_pos_as_xyz
'x,y,z'
'-x,-y,-z'
'-x,y+1/2,-z'
'x,-y+1/2,z'
loop_
_atom_site_label
_atom_site_fract_x
_atom_site_fract_y
_atom_site_fract_z
Tb1 0.024 0.250 0.370
Tb2 0.098 0.750 0.221
Tb3 0.271 0.250 0.973
Y1 0.038 0.750 0.929
Y2 0.192 0.250 0.668
Y3 0.262 0.750 0.509
Y4 0.345 0.250 0.301
Y5 0.349 0.750 0.826
Y6 0.424 0.750 0.138
In1 0.467 0.250 0.586

---

(12)
# TbY5In4 | Alexandria | PBE-GGA | relaxed
# **E_form**: -401 meV/atom
# **E**: -5.19 eV per atom
# **Crystal system**: tetragonal
# **Total magnetic moment**: 0.00 μB per cell
data_TbY5In4
_symmetry_space_group_name_H-M 'P 4/m m m'
_symmetry_Int_Tables_number 123
_symmetry_space_group_name_Hall '-P 4 2'
_cell_length_a 3.592
_cell_length_b 3.592
_cell_length_c 21.618
_cell_angle_alpha 90.00
_cell_angle_beta 90.00
_cell_angle_gamma 90.00
loop_
_atom_site_label
_atom_site_fract_x
_atom_site_fract_y
_atom_site_fract_z
Tb1 0.000 0.000 0.000
Y1 0.500 0.500 0.116
Y2 0.500 0.500 0.307
Y3 0.500 0.500 0.500
In1 0.000 0.000 0.211
In2 0.000 0.000 0.404

---

(13)
# Tb7Y3In2 | Alexandria | PBE-GGA | relaxed
# **E_form**: -55 meV/atom
# **E**: -4.83 eV per atom
# **Crystal system**: monoclinic
# **Total magnetic moment**: 0.00 μB per cell
data_Tb7Y3In2
_symmetry_space_group_name_H-M 'P 1 2/m 1'
_symmetry_Int_Tables_number 10
_cell_length_a 5.587
_cell_length_b 3.615
_cell_length_c 18.479
_cell_angle_alpha 90.00
_cell_angle_beta 93.94
_cell_angle_gamma 90.00
loop_
_symmetry_equiv_pos_as_xyz
'x,y,z'
'-x,-y,-z'
'-x,y,-z'
'x,-y,z'
loop_
_atom_site_label
_atom_site_fract_x
_atom_site_fract_y
_atom_site_fract_z
Tb1 0.000 0.000 0.000
Tb2 0.167 0.500 0.173
Tb3 0.259 0.500 0.540
Tb4 0.336 0.000 0.851
Y1 0.220 0.000 0.364
Y2 0.500 0.500 0.000
In1 0.300 0.500 0.707

---

(14)
# Tb2YIn | Alexandria | PBE-GGA | relaxed
# **Energy above the lowest structure with this stoichiometry**: 141.0 meV/atom
# **E_form**: -131 meV/atom
# **E**: -4.75 eV per atom
# **Crystal system**: cubic
# **Total magnetic moment**: 5.49 μB per cell
data_Tb2YIn
_symmetry_space_group_name_H-M 'F -4 3 m'
_symmetry_Int_Tables_number 216
_symmetry_space_group_name_Hall 'F -4 2 3'
_cell_length_a 7.731
_cell_length_b 7.731
_cell_length_c 7.731
_cell_angle_alpha 90.00
_cell_angle_beta 90.00
_cell_angle_gamma 90.00
loop_
_atom_site_label
_atom_site_fract_x
_atom_site_fract_y
_atom_site_fract_z
Tb1 0.000 0.000 0.000
Tb2 0.250 0.250 0.250
Y1 0.000 0.000 0.500
In1 0.250 0.250 0.750

---

(15)
# Tb2YIn4 | Alexandria | PBE-GGA | relaxed
# **E_form**: -323 meV/atom
# **E**: -4.13 eV per atom
# **Crystal system**: tetragonal
# **Total magnetic moment**: 0.00 μB per cell
data_Tb2YIn4
_symmetry_space_group_name_H-M 'I 4/m m m'
_symmetry_Int_Tables_number 139
_symmetry_space_group_name_Hall '-I 4 2'
_cell_length_a 5.252
_cell_length_b 5.252
_cell_length_c 14.676
_cell_angle_alpha 90.00
_cell_angle_beta 90.00
_cell_angle_gamma 90.00
loop_
_atom_site_label
_atom_site_fract_x
_atom_site_fract_y
_atom_site_fract_z
Tb1 0.000 0.000 0.249
Y1 0.000 0.000 0.500
In1 0.000 0.500 0.115

---

(16)
# Tb3Y6In | Alexandria | PBE-GGA | relaxed
# **Energy above the lowest structure with this stoichiometry**: 75.7 meV/atom
# **E_form**: -5 meV/atom
# **E**: -5.55 eV per atom
# **Crystal system**: orthorhombic
# **Total magnetic moment**: 0.00 μB per cell
data_Tb3Y6In
_symmetry_space_group_name_H-M 'C m c 21'
_symmetry_Int_Tables_number 36
_cell_length_a 9.673
_cell_length_b 20.397
_cell_length_c 6.326
_cell_angle_alpha 90.00
_cell_angle_beta 90.00
_cell_angle_gamma 90.00
loop_
_symmetry_equiv_pos_as_xyz
'x,y,z'
'-x,-y,z+1/2'
'-x,y,z'
'x,-y,z+1/2'
'x+1/2,y+1/2,z'
'-x+1/2,-y+1/2,z+1/2'
'-x+1/2,y+1/2,z'
'x+1/2,-y+1/2,z+1/2'
loop_
_atom_site_label
_atom_site_fract_x
_atom_site_fract_y
_atom_site_fract_z
Tb1 0.000 0.085 0.000
Tb2 0.168 0.373 0.409
Y1 0.000 0.211 0.708
Y2 0.000 0.485 0.733
Y3 0.179 0.218 0.255
Y4 0.184 0.058 0.473
In1 0.000 0.348 0.962

---

(17)
# Tb15YIn4 | Alexandria | PBE-GGA | relaxed
# **E_form**: -204 meV/atom
# **E**: -4.55 eV per atom
# **Crystal system**: tetragonal
# **Total magnetic moment**: 0.03 μB per cell
data_Tb15YIn4
_symmetry_space_group_name_H-M 'P 4/m m m'
_symmetry_Int_Tables_number 123
_symmetry_space_group_name_Hall '-P 4 2'
_cell_length_a 4.872
_cell_length_b 4.872
_cell_length_c 24.776
_cell_angle_alpha 90.00
_cell_angle_beta 90.00
_cell_angle_gamma 90.00
loop_
_atom_site_label
_atom_site_fract_x
_atom_site_fract_y
_atom_site_fract_z
Tb1 0.000 0.000 0.000
Tb2 0.000 0.000 0.205
Tb3 0.000 0.000 0.402
Tb4 0.000 0.500 0.106
Tb5 0.000 0.500 0.303
Tb6 0.000 0.500 0.500
Y1 0.500 0.500 0.000
In1 0.500 0.500 0.207
In2 0.500 0.500 0.402

---

(18)
# Tb3YIn2 | Alexandria | PBE-GGA | relaxed
# **Energy above the lowest structure with this stoichiometry**: 0.0 meV/atom
# **E_form**: -367 meV/atom
# **E**: -4.67 eV per atom
# **Crystal system**: orthorhombic
# **Total magnetic moment**: 0.00 μB per cell
data_Tb3YIn2
_symmetry_space_group_name_H-M 'P m c 21'
_symmetry_Int_Tables_number 26
_cell_length_a 5.200
_cell_length_b 9.853
_cell_length_c 6.754
_cell_angle_alpha 90.00
_cell_angle_beta 90.00
_cell_angle_gamma 90.00
loop_
_symmetry_equiv_pos_as_xyz
'x,y,z'
'-x,-y,z+1/2'
'-x,y,z'
'x,-y,z+1/2'
loop_
_atom_site_label
_atom_site_fract_x
_atom_site_fract_y
_atom_site_fract_z
Tb1 0.000 0.038 0.000
Tb2 0.000 0.319 0.351
Tb3 0.500 0.182 0.722
Y1 0.500 0.461 0.072
In1 0.000 0.359 0.826
In2 0.500 0.142 0.247

---

(19)
# Tb2Y3In4 | Alexandria | PBE-GGA | relaxed
# **Energy above the lowest structure with this stoichiometry**: 0.0 meV/atom
# **E_form**: -430 meV/atom
# **E**: -4.83 eV per atom
# **Crystal system**: monoclinic
# **Total magnetic moment**: 0.00 μB per cell
data_Tb2Y3In4
_symmetry_space_group_name_H-M 'C 1 2/m 1'
_symmetry_Int_Tables_number 12
_cell_length_a 9.146
_cell_length_b 5.285
_cell_length_c 10.277
_cell_angle_alpha 90.00
_cell_angle_beta 90.07
_cell_angle_gamma 90.00
loop_
_symmetry_equiv_pos_as_xyz
'x,y,z'
'-x,-y,-z'
'-x,y,-z'
'x,-y,z'
'x+1/2,y+1/2,z'
'-x+1/2,-y+1/2,-z'
'-x+1/2,y+1/2,-z'
'x+1/2,-y+1/2,z'
loop_
_atom_site_label
_atom_site_fract_x
_atom_site_fract_y
_atom_site_fract_z
Tb1 0.167 0.000 0.278
Y1 0.000 0.500 0.500
Y2 0.167 0.000 0.924
In1 0.000 0.500 0.154
In2 0.167 0.000 0.601